A geometry-optimized TaCr2P structure, computed with PBE.

Summary:
E_tot = -36.81 eV for the cell shown
V = 13.20 Å³ per atom

Unit cell a=4.7930 b=4.7930 c=4.7930 alpha=141.67 beta=128.32 gamma=66.15
Fractional positions:
Ta  0.0000  0.0000  0.0000
Cr  0.2587  0.7587  0.5000
Cr  0.7413  0.2413  0.5000
P  0.5000  0.5000  0.0000

=====

A geometry-optimized Ta2CrP2 structure, computed with PBE.

Summary:
E_tot = -93.09 eV for the cell shown
V = 14.14 Å³ per atom

Unit cell a=6.3315 b=6.3315 c=3.5272 alpha=90.00 beta=90.00 gamma=90.00
Fractional positions:
Ta  0.1599  0.3401  0.0000
Ta  0.3401  0.8401  0.0000
Ta  0.6599  0.1599  0.0000
Ta  0.8401  0.6599  0.0000
Cr  0.0000  0.0000  0.5000
Cr  0.5000  0.5000  0.5000
P  0.1446  0.6446  0.5000
P  0.3554  0.1446  0.5000
P  0.6446  0.8554  0.5000
P  0.8554  0.3554  0.5000

=====

A geometry-optimized TaCr2P structure, computed with PBE.

Summary:
E_tot = -36.16 eV for the cell shown
V = 14.20 Å³ per atom

Unit cell a=7.2165 b=7.2165 c=7.2165 alpha=24.49 beta=24.49 gamma=24.49
Fractional positions:
Ta  0.0000  0.0000  0.0000
Cr  0.2369  0.2369  0.2369
Cr  0.7631  0.7631  0.7631
P  0.5000  0.5000  0.5000